First-principles (PBE) data for a relaxed structure of Tb2Pm6DyMg, as listed in Alexandria via LeMat-Bulk.

Calculated values
Total magnetic moment = 0.00 μB/f.u.
Formation energy = 0.116 eV/atom
Crystal system = monoclinic
Space-group type = C2/c (15)
Raw total energy = -0.157 hartree per atom

a b c (Å): 8.9424 8.9424 9.3142
angles (deg): 92.55 92.55 117.65
Last column: nearest neighbours and their distance in Å.
Element x y z (fractional)
1 Tb 0.1860 0.2916 0.4503  5 Pm 3.19-3.44, 2 Dy 3.39-3.56, 1 Mg 3.45
2 Tb 0.2916 0.1860 0.9503  5 Pm 3.19-3.44, 2 Dy 3.39-3.56, 1 Mg 3.45
3 Tb 0.7084 0.8140 0.0497  5 Pm 3.19-3.44, 2 Dy 3.39-3.56, 1 Mg 3.45
4 Tb 0.8140 0.7084 0.5497  5 Pm 3.19-3.44, 2 Dy 3.39-3.56, 1 Mg 3.45
5 Pm 0.0035 0.7822 0.8937  3 Tb 3.19-3.44, 3 Pm 3.33-3.47, 2 Mg 3.41
6 Pm 0.0675 0.4970 0.7003  5 Pm 3.33-3.70, 1 Mg 3.38, 1 Tb 3.40, 1 Dy 3.55
7 Pm 0.2178 0.9965 0.6063  3 Tb 3.19-3.44, 3 Pm 3.33-3.47, 2 Mg 3.41
8 Pm 0.2775 0.6325 0.0528  1 Tb 3.42, 7 Pm 3.46-3.70, 2 Dy 3.60-3.71
9 Pm 0.3675 0.7225 0.4472  1 Tb 3.42, 7 Pm 3.46-3.70, 2 Dy 3.60-3.71
10 Pm 0.4970 0.0675 0.2003  5 Pm 3.33-3.70, 1 Mg 3.38, 1 Tb 3.40, 1 Dy 3.55
11 Pm 0.5030 0.9325 0.7997  5 Pm 3.33-3.70, 1 Mg 3.38, 1 Tb 3.40, 1 Dy 3.55
12 Pm 0.6325 0.2775 0.5528  1 Tb 3.42, 7 Pm 3.46-3.70, 2 Dy 3.60-3.71
13 Pm 0.7225 0.3675 0.9472  1 Tb 3.42, 7 Pm 3.46-3.70, 2 Dy 3.60-3.71
14 Pm 0.7822 0.0035 0.3937  3 Tb 3.19-3.44, 3 Pm 3.33-3.47, 2 Mg 3.41
15 Pm 0.9325 0.5030 0.2997  5 Pm 3.33-3.70, 1 Mg 3.38, 1 Tb 3.40, 1 Dy 3.55
16 Pm 0.9965 0.2178 0.1063  3 Tb 3.19-3.44, 3 Pm 3.33-3.47, 2 Mg 3.41
17 Dy 0.4754 0.5246 0.7500  4 Tb 3.39-3.56, 6 Pm 3.55-3.71
18 Dy 0.5246 0.4754 0.2500  4 Tb 3.39-3.56, 6 Pm 3.55-3.71
19 Mg 0.0815 0.9185 0.2500  6 Pm 3.38-3.41, 4 Tb 3.45-3.73
20 Mg 0.9185 0.0815 0.7500  6 Pm 3.38-3.41, 4 Tb 3.45-3.73

First-principles (PBE) data for a relaxed structure of SrTaTi2Ir, as listed in Alexandria via LeMat-Bulk.

Calculated values
Total magnetic moment = 1.82 μB/f.u.
Formation energy = 0.985 eV/atom
Crystal system = tetragonal
Space-group type = P4/mmm (123)
Raw total energy = -0.244 hartree per atom

a b c (Å): 4.7848 4.7848 5.5229
angles (deg): 90.00 90.00 90.00
Last column: nearest neighbours and their distance in Å.
Element x y z (fractional)
1 Sr 0.0000 0.0000 0.0000  2 Ir 2.76
2 Ta 0.5000 0.5000 0.0000  4 Sr 3.38, 8 Ti 3.65
3 Ti 0.0000 0.5000 0.5000  2 Ir 2.39
4 Ti 0.5000 0.0000 0.5000  2 Ir 2.39
5 Ir 0.0000 0.0000 0.5000  4 Ti 2.39

First-principles (PBE) data for a relaxed structure of Zr2CrSe, as listed in Alexandria via LeMat-Bulk.

Calculated values
Total magnetic moment = 0.00 μB/f.u.
Crystal system = tetragonal
Space-group type = P4mm (99)
Raw total energy = -0.282 hartree per atom
ΔE_f (raw) = -130 meV per atom

a b c (Å): 3.2350 3.2350 7.0805
angles (deg): 90.00 90.00 90.00
Last column: nearest neighbours and their distance in Å.
Element x y z (fractional)
1 Zr 0.0000 0.0000 0.0000  4 Se 3.04, 1 Cr 3.15, 8 Zr 3.18-3.24
2 Zr 0.5000 0.5000 0.3126  4 Cr 2.86, 1 Se 2.87, 4 Zr 3.18
3 Cr 0.0000 0.0000 0.5554  4 Se 2.56, 4 Zr 2.86
4 Se 0.5000 0.5000 0.7173  4 Cr 2.56, 1 Zr 2.87

First-principles (PBE) data for a relaxed structure of PrBCl, as listed in Alexandria via LeMat-Bulk.

Calculated values
Total magnetic moment = 0.00 μB/f.u.
Relative energy among the computed polymorphs = 279 meV per atom
Crystal system = orthorhombic
Space-group type = Immm (71)
Raw total energy = -0.193 hartree per atom
ΔE_f (raw) = -812 meV per atom

a b c (Å): 9.6592 9.6592 9.6592
angles (deg): 160.43 151.95 34.44
Last column: nearest neighbours and their distance in Å.
Element x y z (fractional)
1 Pr 0.1356 0.1356 0.0000  2 B 2.63
2 Pr 0.8644 0.8644 0.0000  2 B 2.63
3 B 0.0000 0.2447 0.2447  2 B 1.61-1.68
4 B 0.0000 0.7553 0.7553  2 B 1.61-1.68
5 Cl 0.3194 0.3194 0.0000  4 Pr 2.98, 2 Cl 3.28
6 Cl 0.6806 0.6806 0.0000  4 Pr 2.98, 2 Cl 3.28